A plane-wave DFT calculation with GGA-PBE was carried out for SmGa3Tc after structural relaxation.

The structure in POSCAR format:
```
SmGa3Tc
1.0
4.770 0.000 0.000
0.000 4.770 0.000
0.000 0.000 4.770
Sm Ga Tc
1 3 1
Cartesian
0.000 0.000 0.000 Sm
0.000 2.385 2.385 Ga
2.385 0.000 2.385 Ga
2.385 2.385 0.000 Ga
2.385 2.385 2.385 Tc
```

Values from the calculation:
E_form: -276 meV per atom
E above lowest polymorph: 0.1240 eV per atom